DFT (PBE) results for Ba3Nb6Si4O26 after structural relaxation.

Lattice parameters (Å, degrees): 9.0431 9.0431 7.7053 90.00 90.00 120.00
Space group P-62m (No. 189)
Symmetry-distinct sites (fractional):
Ba 0.0000 0.6055 0.0000 x3
Nb 0.0000 0.2389 0.2586 x6
Si 0.3333 0.6667 0.2908 x4
O 0.0000 0.2144 0.0000 x3
O 0.0000 0.2979 0.5000 x3
O 0.0000 0.8190 0.2832 x6
O 0.1827 0.4885 0.2088 x12
O 0.3333 0.6667 0.5000 x2

The calculation puts the total energy at -8.331 eV/atom.